A relaxed KCeMoO6 crystal, computed with PBE with a Hubbard U.

Summary:
Total magnetic moment ... 1.08 μB/cell
Electronic total energy ... -62.12 eV/cell
Calculated density ... 3.81 g cm⁻³

abc: 5.768 5.746 5.826
angles: 91.88 90.53 56.92
Each line ends with the local moment (μB).
Atoms (fractional coordinates):
K 0.991 0.006 0.004  0.00
O 0.613 0.352 0.671  0.10
O 0.351 0.615 0.312  0.02
O 0.059 0.564 0.711  0.31
Ce 0.666 0.662 0.534  0.07
O 0.600 0.018 0.306  0.03
O 0.356 0.054 0.692  0.38
O 0.025 0.387 0.306  0.07
Mo 0.340 0.343 0.463  -0.07